#P
VASP calculation (PBE) on a relaxed structure of LaTmSc2.

Values from the calculation:
Magnetization in μB per formula unit: 0.03

Cell lengths 3.4731, 3.4731, 11.1196 Å; angles 81.02, 81.02, 60.00 degrees
Last column: nearest neighbours and their distance in Å.
Element x y z (fractional)
1 La 0.6664 0.6664 0.0008  6 Sc 3.44-3.46, 6 La 3.47
2 Tm 0.5001 0.5001 0.4996  6 Sc 3.33, 6 Tm 3.47
3 Sc 0.0857 0.0857 0.7430  3 Tm 3.33, 3 La 3.46, 6 Sc 3.47
4 Sc 0.2478 0.2478 0.2565  3 Tm 3.33, 3 La 3.44, 6 Sc 3.47


#Q
VASP calculation (PBE) on a relaxed structure of LaTmSc2.

Values from the calculation:
Magnetization in μB per formula unit: 0.00

Cell lengths 4.5430, 5.0321, 5.0321 Å; angles 90.00, 90.00, 90.00 degrees
Last column: nearest neighbours and their distance in Å.
Element x y z (fractional)
1 Sc 0.0000 0.0000 0.5000  4 La 3.39, 4 Tm 3.39, 4 Sc 3.56
2 Sc 0.0000 0.5000 0.0000  4 La 3.39, 4 Tm 3.39, 4 Sc 3.56
3 Tm 0.5000 0.0000 0.0000  8 Sc 3.39, 4 La 3.56
4 La 0.5000 0.5000 0.5000  8 Sc 3.39, 4 Tm 3.56


Energies in meV per atom, measured from the most stable structure: #P 0; #Q 16.


#P
VASP calculation (PBE) on a relaxed structure of LaTm4Sc2.

Values from the calculation:
Magnetization in μB per formula unit: 0.00

Cell lengths 8.3316, 9.1338, 6.8789 Å; angles 112.17, 101.75, 111.71 degrees
Last column: nearest neighbours and their distance in Å.
Element x y z (fractional)
1 La 0.2595 0.6254 0.5827  8 Tm 3.34-3.71, 3 Sc 3.43-3.53, 1 La 3.59
2 La 0.0707 0.1996 0.0704  5 Sc 3.26-3.47, 6 Tm 3.44-3.63, 1 La 3.59
3 Tm 0.6654 0.9159 0.5659  5 Sc 3.22-3.54, 2 La 3.48-3.50, 3 Tm 3.50-3.60
4 Tm 0.5186 0.4754 0.8212  3 Sc 3.02-3.27
5 Tm 0.3839 0.0774 0.3363  8 Tm 3.43-3.81, 4 Sc 3.47-3.69, 1 La 3.63
6 Tm 0.7966 0.3367 0.3201  3 Sc 3.03-3.36, 1 La 3.34
7 Tm 0.9292 0.7352 0.8013  3 Sc 3.39-3.61, 6 Tm 3.42-3.68, 2 La 3.51-3.66
8 Tm 0.9377 0.7478 0.3072  8 Tm 3.42-3.77, 4 Sc 3.46-3.56, 1 La 3.71
9 Tm 0.2498 0.6139 0.0702  4 Sc 3.22-3.49, 3 Tm 3.40-3.51, 3 La 3.41-3.52
10 Tm 0.3864 0.0833 0.8393  6 Tm 3.40-3.77, 4 Sc 3.44-3.70, 2 La 3.48-3.62
11 Sc 0.5232 0.4819 0.3214  2 Tm 3.03-3.26, 1 La 3.26
12 Sc 0.0631 0.2037 0.5672  5 Tm 3.27-3.48, 2 Sc 3.37-3.41, 3 La 3.42-3.53
13 Sc 0.8019 0.3444 0.8202  3 Tm 3.02-3.22, 1 Sc 3.37
14 Sc 0.6638 0.9095 0.0763  6 Tm 3.22-3.56, 1 Sc 3.41, 2 La 3.44-3.47


#Q
VASP calculation (PBE) on a relaxed structure of LaTm4Sc2.

Values from the calculation:
Magnetization in μB per formula unit: 0.00

Cell lengths 5.5224, 5.5224, 8.7604 Å; angles 108.37, 108.37, 90.00 degrees
Last column: nearest neighbours and their distance in Å.
Element x y z (fractional)
1 La 0.0000 0.0000 0.0000  6 Tm 2.76-2.95
2 Tm 0.8122 0.8122 0.6243  1 La 2.95, 1 Sc 3.25
3 Tm 0.1878 0.1878 0.3757  1 La 2.95, 1 Sc 3.25
4 Tm 0.0000 0.5000 0.0000  2 La 2.76
5 Tm 0.5000 0.0000 0.0000  2 La 2.76
6 Sc 0.3952 0.3952 0.7904  5 Tm 3.21-3.25, 1 Sc 3.29
7 Sc 0.6048 0.6048 0.2096  5 Tm 3.21-3.25, 1 Sc 3.29


Energies in meV per atom, measured from the most stable structure: #P 0; #Q 724.


#P
VASP calculation (PBE) on a relaxed structure of La6TmSc.

Values from the calculation:
Magnetization in μB per formula unit: 0.00

Cell lengths 5.8777, 7.3935, 7.3935 Å; angles 119.98, 90.00, 90.00 degrees
Last column: nearest neighbours and their distance in Å.
Element x y z (fractional)
1 La 0.0000 0.0881 0.4190  2 Tm 3.61, 8 La 3.64-3.75, 2 Sc 3.70
2 La 0.0000 0.5810 0.9119  2 Tm 3.61, 8 La 3.64-3.75, 2 Sc 3.70
3 La 0.0000 0.5809 0.4191  2 Tm 3.61, 8 La 3.64-3.75, 2 Sc 3.70
4 La 0.5000 0.4039 0.0773  8 La 3.55-3.84, 2 Sc 3.59, 2 Tm 3.70
5 La 0.5000 0.9227 0.5961  8 La 3.55-3.84, 2 Sc 3.59, 2 Tm 3.70
6 La 0.5000 0.9232 0.0768  8 La 3.55-3.84, 2 Sc 3.58, 2 Tm 3.70
7 Tm 0.5000 0.4166 0.5834  12 La 3.61-3.70
8 Sc 0.0000 0.0832 0.9168  12 La 3.58-3.70


#Q
VASP calculation (PBE) on a relaxed structure of La6TmSc.

Values from the calculation:
Magnetization in μB per formula unit: 0.00

Cell lengths 5.1466, 5.1466, 10.2826 Å; angles 90.00, 90.00, 90.00 degrees
Last column: nearest neighbours and their distance in Å.
Element x y z (fractional)
1 La 0.5000 0.5000 0.0000  4 Tm 3.64, 8 La 3.66
2 La 0.5000 0.5000 0.5000  8 La 3.61, 4 Sc 3.64
3 La 0.5000 0.0000 0.2534  2 Sc 3.61, 8 La 3.61-3.66, 2 Tm 3.66
4 La 0.5000 0.0000 0.7466  2 Sc 3.61, 8 La 3.61-3.66, 2 Tm 3.66
5 La 0.0000 0.5000 0.2534  8 La 3.61-3.66, 2 Sc 3.61, 2 Tm 3.66
6 La 0.0000 0.5000 0.7466  8 La 3.61-3.66, 2 Sc 3.61, 2 Tm 3.66
7 Tm 0.0000 0.0000 0.0000  12 La 3.64-3.66
8 Sc 0.0000 0.0000 0.5000  12 La 3.61-3.64


Energies in meV per atom, measured from the most stable structure: #P 21; #Q 0.